Dy12Tm6Mg: optimized geometry, GGA-PBE.

**Final energy**: -4.264 eV/atom
**Relative energy among the computed polymorphs**: 0.000 eV per atom
**M_tot**: 0.000 Bohr magnetons per cell
**DFT formation energy**: 0.139 eV per atom

a b c (Å): 8.421 8.421 8.421
angles (deg): 88.67 88.67 88.67
Atoms (fractional coordinates):
Dy 0.039 0.281 0.934
Dy 0.066 0.961 0.719
Dy 0.136 0.317 0.487
Dy 0.281 0.934 0.039
Dy 0.317 0.487 0.136
Dy 0.487 0.136 0.317
Dy 0.513 0.864 0.683
Dy 0.683 0.513 0.864
Dy 0.719 0.066 0.961
Dy 0.864 0.683 0.513
Dy 0.934 0.039 0.281
Dy 0.961 0.719 0.066
Tm 0.208 0.598 0.761
Tm 0.239 0.792 0.402
Tm 0.402 0.239 0.792
Tm 0.598 0.761 0.208
Tm 0.761 0.208 0.598
Tm 0.792 0.402 0.239
Mg 0.500 0.500 0.500

=====

La2PmSmP4: optimized geometry, GGA-PBE.

**Final energy**: -6.689 eV/atom
**M_tot**: 0.000 Bohr magnetons per cell
**DFT formation energy**: -1.568 eV per atom

a b c (Å): 7.267 4.199 7.271
angles (deg): 90.00 109.44 90.00
Atoms (fractional coordinates):
La 0.000 0.000 0.000
La 0.500 0.500 0.000
Pm 0.000 0.500 0.500
Sm 0.500 0.000 0.500
P 0.248 0.000 0.743
P 0.253 0.500 0.257
P 0.747 0.500 0.743
P 0.752 0.000 0.257

=====

Pr6TlFe13: optimized geometry, GGA-PBE.

**Final energy**: -7.083 eV/atom
**M_tot**: 52.750 Bohr magnetons per cell
**DFT formation energy**: -0.030 eV per atom

a b c (Å): 13.194 13.194 13.194
angles (deg): 144.38 144.38 51.26
Atoms (fractional coordinates):
Pr 0.020 0.520 0.174
Pr 0.104 0.104 0.000
Pr 0.153 0.980 0.500
Pr 0.347 0.847 0.826
Pr 0.396 0.396 0.000
Pr 0.480 0.653 0.500
Pr 0.520 0.347 0.500
Pr 0.604 0.604 0.000
Pr 0.653 0.153 0.174
Pr 0.847 0.020 0.500
Pr 0.896 0.896 0.000
Pr 0.980 0.480 0.826
Tl 0.250 0.250 0.000
Tl 0.750 0.750 0.000
Fe 0.000 0.500 0.500
Fe 0.021 0.296 0.500
Fe 0.066 0.210 0.277
Fe 0.122 0.622 0.858
Fe 0.204 0.479 0.500
Fe 0.210 0.934 0.144
Fe 0.237 0.737 0.858
Fe 0.263 0.122 0.500
Fe 0.290 0.434 0.723
Fe 0.296 0.796 0.275
Fe 0.378 0.237 0.500
Fe 0.434 0.710 0.144
Fe 0.479 0.979 0.275
Fe 0.500 0.000 0.500
Fe 0.521 0.021 0.725
Fe 0.566 0.290 0.856
Fe 0.622 0.763 0.500
Fe 0.704 0.204 0.725
Fe 0.710 0.566 0.277
Fe 0.737 0.878 0.500
Fe 0.763 0.263 0.142
Fe 0.790 0.066 0.856
Fe 0.796 0.521 0.500
Fe 0.878 0.378 0.142
Fe 0.934 0.790 0.723
Fe 0.979 0.704 0.500

=====

Ba2SrI: optimized geometry, GGA-PBE.

**Final energy**: -2.391 eV/atom
**Relative energy among the computed polymorphs**: 0.000 eV per atom
**Formation energy from raw total energies**: -0.622 eV per atom
**M_tot**: 0.003 Bohr magnetons per cell

a b c (Å): 12.597 12.597 12.597
angles (deg): 20.51 20.51 20.51
Atoms (fractional coordinates):
Ba 0.237 0.237 0.237
Ba 0.763 0.763 0.763
Sr 0.000 0.000 0.000
I 0.500 0.500 0.500

=====

Fe3Ni4: optimized geometry, GGA-PBE.

**Final energy**: -6.889 eV/atom
**Relative energy among the computed polymorphs**: 0.101 eV per atom
**M_tot**: 22.425 Bohr magnetons per cell
**DFT formation energy**: 0.041 eV per atom

a b c (Å): 6.369 6.369 6.369
angles (deg): 113.60 113.60 113.60
Atoms (fractional coordinates):
Fe 0.035 0.625 0.755
Fe 0.245 0.965 0.375
Fe 0.375 0.245 0.965
Fe 0.625 0.755 0.035
Fe 0.755 0.035 0.625
Fe 0.965 0.375 0.245
Ni 0.000 0.000 0.000
Ni 0.108 0.257 0.564
Ni 0.257 0.564 0.108
Ni 0.436 0.892 0.743
Ni 0.500 0.500 0.500
Ni 0.564 0.108 0.257
Ni 0.743 0.436 0.892
Ni 0.892 0.743 0.436

=====

- Which of these has the highest M_tot?
  Pr6TlFe13

=====

- Which of these has the lowest final energy?
  Pr6TlFe13

=====

- What is the formula in the fifth record?
  Fe3Ni4

=====

- Which formula does entry 5 have?
  Fe3Ni4